i.
The following is a PBE calculation of TlAg2Mo after structural relaxation, from Alexandria via LeMat-Bulk.

Geometry as POSCAR:
```
TlAg2Mo
1.0
-1.542 2.012 -1.322
-2.112 -0.376 1.890
3.854 6.654 5.631
Ag Mo Tl
2 1 1
direct
0.000 0.000 0.027
0.000 0.000 0.473
0.500 0.500 0.250
0.500 0.500 0.750
```

Properties
DOS at the Fermi energy	2.059	states/eV/cell
size of the total moment	0.00	μB/f.u.
space-group type	No. 123
volume	77.89	Å³/cell

ii.
The following is a PBE calculation of TlAg2Mo after structural relaxation, from Alexandria via LeMat-Bulk.

Geometry as POSCAR:
```
TlAg2Mo
1.0
5.575 0.151 0.730
4.778 2.876 0.730
1.664 0.487 5.172
Ag Mo Tl
2 1 1
direct
0.005 0.005 0.908
0.757 0.757 0.839
0.495 0.495 0.404
0.244 0.244 0.349
```

Properties
DOS at the Fermi energy	2.562	states/eV/cell
size of the total moment	0.00	μB/f.u.
space-group type	No. 8
volume	75.60	Å³/cell

iii.
The following is a PBE calculation of TlAg2Mo after structural relaxation, from Alexandria via LeMat-Bulk.

Geometry as POSCAR:
```
TlAg2Mo
1.0
4.747 -0.370 0.000
0.359 4.748 0.000
-2.553 -2.189 3.371
Ag Mo Tl
2 1 1
direct
0.000 0.000 0.000
0.250 0.750 0.500
0.500 0.500 0.000
0.750 0.250 0.500
```

Properties
DOS at the Fermi energy	1.760	states/eV/cell
size of the total moment	2.30	μB/f.u.
space-group type	No. 119
volume	76.41	Å³/cell

Consider the structures shown above. The most stable of them is i.